# 1
MgZn2Ag7Sb2 after structural relaxation, computed with PBE.

Formation energy from raw total energies ... -0.01 eV per formula unit
SG ... C2/m, No. 12

a = 4.1998 Å, b = 4.1998 Å, c = 14.4750 Å
α = 73.22°, β = 73.22°, γ = 90.43°
Fractional coordinates of all 12 atoms:
Ag1 0.8429 0.3429 0.1567
Mg1 0.0000 0.0000 0.0000
Ag2 0.1571 0.6571 0.8433
Ag3 0.3429 0.8429 0.1567
Sb1 0.6795 0.6795 0.3187
Zn1 0.1832 0.1832 0.3159
Ag4 0.6571 0.1571 0.8433
Sb2 0.3205 0.3205 0.6813
Ag5 0.7646 0.7646 0.4996
Zn2 0.8168 0.8168 0.6841
Ag6 0.2354 0.2354 0.5004
Ag7 0.5000 0.5000 0.0000

---

# 2
MgScAg2 after structural relaxation, computed with PBE.

SG ... R3m, No. 160
E_form ... -0.059 eV per atom

a = 3.1311 Å, b = 3.1311 Å, c = 9.5844 Å
α = 80.60°, β = 80.60°, γ = 60.00°
Fractional coordinates of all 4 atoms:
Ag1 0.0818 0.0818 0.7546
Mg1 0.6668 0.6668 0.9997
Sc1 0.4999 0.4999 0.5003
Ag2 0.2515 0.2515 0.2455